The following is a PBEsol calculation of a relaxed structure of AlTl2Sb, from Alexandria.

The calculation puts the relative energy among the computed polymorphs at 0 meV per atom. The raw formation energy comes out at 79 meV/atom. For the total magnetization, the calculation gives 0.000 μB/atom.

It has space group P4mm (No. 99), with a = 3.686 Å, b = 3.686 Å, c = 7.657 Å, α = 90.00°, β = 90.00° and γ = 90.00°. The inequivalent atoms are Al at (0.000, 0.000, 0.000), Tl at (0.000, 0.000, 0.455), Tl at (0.500, 0.500, 0.750) and Sb at (0.500, 0.500, 0.170).